Below is an optimized crystal structure of SmBiS3, with properties calculated at the GGA-PBE level.

a = 4.0594 Å, b = 10.9242 Å, c = 11.0464 Å
α = 90.00°, β = 90.00°, γ = 90.00°
Fractional coordinates of all 20 atoms:
S 0.7500 0.8057 0.7764
S 0.7500 0.0613 0.6154
Bi 0.2500 0.5320 0.3275
Sm 0.2500 0.1719 0.4902
S 0.2500 0.3057 0.7236
Bi 0.7500 0.0320 0.1725
Sm 0.7500 0.8281 0.5098
S 0.2500 0.1943 0.2236
S 0.7500 0.1353 0.9531
S 0.7500 0.6943 0.2764
S 0.7500 0.3647 0.4531
Bi 0.2500 0.9680 0.8275
Sm 0.7500 0.6719 0.0098
Sm 0.2500 0.3281 0.9902
Bi 0.7500 0.4680 0.6725
S 0.2500 0.5613 0.8846
S 0.2500 0.9387 0.3846
S 0.2500 0.6353 0.5469
S 0.2500 0.8647 0.0469
S 0.7500 0.4387 0.1154

Values from the calculation:
N(E_F)	0.000	states/eV/atom
volume	24.5	Å³/atom
energy relative to the elements, uncorrected	-1.200	eV/atom
offset from the most stable computed form	0	meV/atom